Density functional theory data (PBE) for a relaxed structure of NaLa2Nd3Se6.

Uncorrected formation energy: -178.5 kJ/mol of atoms
M_tot: 0.0 μB/cell

Geometry as POSCAR:
```
NaLa2Nd3Se6
1.0
-1.0788 -0.2863 -4.1011
4.4079 -7.3092 -0.6492
-8.0098 -2.6409 4.4939
Na La Nd Se
1 2 3 6
Direct
0.5000 0.0000 0.0000
0.8338 0.6654 0.6676
0.1662 0.3346 0.3324
0.5000 0.5000 0.0000
0.8353 0.1735 0.6705
0.1647 0.8265 0.3295
0.3333 0.9224 0.6666
0.6649 0.5849 0.3298
0.6667 0.0776 0.3334
0.9994 0.2499 0.9989
0.0006 0.7501 0.0011
0.3351 0.4151 0.6702
```